(1)
An optimized crystal structure of PaNiB4. Source: the Alexandria database, functional PBE.

abc: 5.930 5.930 3.500
angles: 90.00 90.00 104.25
Fractional coordinates of all 12 atoms:
Pa (0.199, 0.801, 0.000)
Pa (0.801, 0.199, 0.000)
Ni (0.327, 0.327, 0.000)
Ni (0.673, 0.673, 0.000)
B (0.118, 0.434, 0.500)
B (0.123, 0.123, 0.500)
B (0.409, 0.591, 0.500)
B (0.434, 0.118, 0.500)
B (0.566, 0.882, 0.500)
B (0.591, 0.409, 0.500)
B (0.877, 0.877, 0.500)
B (0.882, 0.566, 0.500)

Calculated volume   59.6 Å³/f.u.
M_tot   0.0000 μB/atom
Energy   -7.5376 eV per atom

---

(2)
An optimized crystal structure of PaNi2B. Source: the Alexandria database, functional PBE.

abc: 4.143 4.143 4.143
angles: 67.37 67.37 67.37
Fractional coordinates of all 4 atoms:
Pa (0.000, 0.000, 0.000)
Ni (0.297, 0.297, 0.297)
Ni (0.703, 0.703, 0.703)
B (0.500, 0.500, 0.500)

Calculated volume   58.2 Å³/f.u.
M_tot   0.0000 μB/atom
Offset from the most stable computed form   0.348 eV per atom
Energy   -6.9431 eV per atom

---

(3)
An optimized crystal structure of Pa3NiB7. Source: the Alexandria database, functional PBE.

abc: 8.131 8.131 9.409
angles: 90.00 90.00 155.59
Fractional coordinates of all 22 atoms:
Pa (0.107, 0.893, 0.564)
Pa (0.107, 0.893, 0.936)
Pa (0.248, 0.752, 0.250)
Pa (0.752, 0.248, 0.750)
Pa (0.893, 0.107, 0.064)
Pa (0.893, 0.107, 0.436)
Ni (0.055, 0.945, 0.250)
Ni (0.945, 0.055, 0.750)
B (0.274, 0.726, 0.534)
B (0.274, 0.726, 0.966)
B (0.367, 0.633, 0.652)
B (0.367, 0.633, 0.848)
B (0.465, 0.535, 0.250)
B (0.478, 0.522, 0.589)
B (0.478, 0.522, 0.911)
B (0.522, 0.478, 0.089)
B (0.522, 0.478, 0.411)
B (0.535, 0.465, 0.750)
B (0.633, 0.367, 0.152)
B (0.633, 0.367, 0.348)
B (0.726, 0.274, 0.034)
B (0.726, 0.274, 0.466)

Calculated volume   128.5 Å³/f.u.
M_tot   0.0000 μB/atom
Energy   -7.8025 eV per atom

---

(4)
An optimized crystal structure of Pa2Ni3B2. Source: the Alexandria database, functional PBE.

abc: 4.945 4.945 5.971
angles: 97.06 97.06 41.26
Fractional coordinates of all 7 atoms:
Pa (0.116, 0.116, 0.348)
Pa (0.884, 0.884, 0.652)
Ni (0.187, 0.187, 0.868)
Ni (0.500, 0.500, 0.000)
Ni (0.813, 0.813, 0.132)
B (0.392, 0.392, 0.283)
B (0.608, 0.608, 0.717)

Calculated volume   95.5 Å³/f.u.
M_tot   0.0000 μB/atom
Energy   -7.4519 eV per atom

---

(5)
An optimized crystal structure of PaNi7B2. Source: the Alexandria database, functional PBE.

abc: 5.952 5.952 3.932
angles: 90.00 90.00 115.80
Fractional coordinates of all 10 atoms:
Pa (0.000, 0.000, 0.000)
Ni (0.057, 0.331, 0.500)
Ni (0.271, 0.729, 0.000)
Ni (0.331, 0.057, 0.500)
Ni (0.500, 0.500, 0.500)
Ni (0.669, 0.943, 0.500)
Ni (0.729, 0.271, 0.000)
Ni (0.943, 0.669, 0.500)
B (0.304, 0.696, 0.500)
B (0.696, 0.304, 0.500)

Calculated volume   125.4 Å³/f.u.
M_tot   0.0000 μB/atom
Energy   -6.4925 eV per atom

---

(6)
An optimized crystal structure of PaNi11B. Source: the Alexandria database, functional PBE.

abc: 6.192 6.192 5.952
angles: 96.46 96.46 136.23
Fractional coordinates of all 13 atoms:
Pa (0.000, 0.000, 0.000)
Ni (0.000, 0.000, 0.500)
Ni (0.000, 0.500, 0.000)
Ni (0.042, 0.685, 0.654)
Ni (0.309, 0.523, 0.755)
Ni (0.315, 0.958, 0.346)
Ni (0.477, 0.691, 0.245)
Ni (0.500, 0.000, 0.000)
Ni (0.523, 0.309, 0.755)
Ni (0.685, 0.042, 0.654)
Ni (0.691, 0.477, 0.245)
Ni (0.958, 0.315, 0.346)
B (0.500, 0.500, 0.500)

Calculated volume   150.5 Å³/f.u.
M_tot   0.0793 μB/atom
Energy   -6.3341 eV per atom